[1]
# Re2MoAu PBE optimized geometry
# Total magnetization   0.00 μB/f.u.
# Formation energy   528 meV per atom
# Energy relative to the lowest polymorph listed for this composition   0.320 eV/atom
# DOS(E_F)   2.50 states/eV/f.u.
# V   15.9 Å³/atom
data_Re2MoAu
_chemical_formula_sum 'Re8 Mo4 Au4'
_space_group_name_H-M_alt 'F -4 3 m'
_space_group_IT_number 216
_space_group_name_Hall 'F -4 2 3'
_cell_length_a 6.3396
_cell_length_b 6.3396
_cell_length_c 6.3396
_cell_angle_alpha 90.00
_cell_angle_beta 90.00
_cell_angle_gamma 90.00
loop_
_atom_site_label
_atom_site_type_symbol
_atom_site_fract_x
_atom_site_fract_y
_atom_site_fract_z
Re1 Re 0.0000 0.0000 0.0000
Re2 Re 0.2500 0.2500 0.2500
Mo1 Mo 0.2500 0.2500 0.7500
Au1 Au 0.0000 0.0000 0.5000

[2]
# DyGePd PBE optimized geometry
# Total magnetization   0.00 μB/f.u.
# Formation energy   -989 meV per atom
# DOS(E_F)   1.10 states/eV/f.u.
# V   19.7 Å³/atom
data_DyGePd
_chemical_formula_sum 'Dy12 Ge12 Pd12'
_space_group_name_H-M_alt 'I m m 2'
_space_group_IT_number 44
_cell_length_a 4.4121
_cell_length_b 21.0530
_cell_length_c 7.6218
_cell_angle_alpha 90.00
_cell_angle_beta 90.00
_cell_angle_gamma 90.00
loop_
_space_group_symop_operation_xyz
'x,y,z'
'-x,-y,z'
'-x,y,z'
'x,-y,z'
'x+1/2,y+1/2,z+1/2'
'-x+1/2,-y+1/2,z+1/2'
'-x+1/2,y+1/2,z+1/2'
'x+1/2,-y+1/2,z+1/2'
loop_
_atom_site_label
_atom_site_type_symbol
_atom_site_fract_x
_atom_site_fract_y
_atom_site_fract_z
Dy1 Dy 0.0000 0.0000 0.0000
Dy2 Dy 0.0000 0.1666 0.0819
Dy3 Dy 0.0000 0.3328 0.0059
Dy4 Dy 0.0000 0.5000 0.0805
Ge1 Ge 0.0000 0.0927 0.7032
Ge2 Ge 0.0000 0.2647 0.3842
Ge3 Ge 0.0000 0.4350 0.7014
Pd1 Pd 0.0000 0.0725 0.3705
Pd2 Pd 0.0000 0.2336 0.7137
Pd3 Pd 0.0000 0.3956 0.3737

[3]
# Ti6ZnRe5 PBE optimized geometry
# Total magnetization   0.00 μB/f.u.
# Formation energy   -380 meV per atom
# DOS(E_F)   7.87 states/eV/f.u.
# V   15.2 Å³/atom
data_Ti6ZnRe5
_chemical_formula_sum 'Ti12 Zn2 Re10'
_space_group_name_H-M_alt 'C 1 2/m 1'
_space_group_IT_number 12
_cell_length_a 13.9466
_cell_length_b 6.2678
_cell_length_c 4.4043
_cell_angle_alpha 90.00
_cell_angle_beta 108.31
_cell_angle_gamma 90.00
loop_
_space_group_symop_operation_xyz
'x,y,z'
'-x,-y,-z'
'-x,y,-z'
'x,-y,z'
'x+1/2,y+1/2,z'
'-x+1/2,-y+1/2,-z'
'-x+1/2,y+1/2,-z'
'x+1/2,-y+1/2,z'
loop_
_atom_site_label
_atom_site_type_symbol
_atom_site_fract_x
_atom_site_fract_y
_atom_site_fract_z
Ti1 Ti 0.0000 0.2388 0.0000
Ti2 Ti 0.1699 0.2454 0.6700
Zn1 Zn 0.0000 0.5000 0.5000
Re1 Re 0.0000 0.0000 0.5000
Re2 Re 0.1630 0.5000 0.1630
Re3 Re 0.1670 0.0000 0.1672

[4]
# RePPb PBE optimized geometry
# Total magnetization   0.00 μB/f.u.
# Formation energy   231 meV per atom
# Energy relative to the lowest polymorph listed for this composition   0.232 eV/atom
# DOS(E_F)   1.29 states/eV/f.u.
# V   19.8 Å³/atom
data_RePPb
_chemical_formula_sum 'Re1 P1 Pb1'
_space_group_name_H-M_alt 'P 3 m 1'
_space_group_IT_number 156
_cell_length_a 3.2360
_cell_length_b 3.2360
_cell_length_c 6.5600
_cell_angle_alpha 90.00
_cell_angle_beta 90.00
_cell_angle_gamma 120.00
loop_
_space_group_symop_operation_xyz
'x,y,z'
'-y,x-y,z'
'-x+y,-x,z'
'-y,-x,z'
'-x+y,y,z'
'x,x-y,z'
loop_
_atom_site_label
_atom_site_type_symbol
_atom_site_fract_x
_atom_site_fract_y
_atom_site_fract_z
Re1 Re 0.0000 0.0000 0.0000
P1 P 0.6667 0.3333 0.2176
Pb1 Pb 0.3333 0.6667 0.6347

[5]
# LiGdDyAu PBE optimized geometry
# Total magnetization   7.19 μB/f.u.
# Formation energy   -394 meV per atom
# DOS(E_F)   3.44 states/eV/f.u.
# V   23.8 Å³/atom
data_LiGdDyAu
_chemical_formula_sum 'Li4 Gd4 Dy4 Au4'
_space_group_name_H-M_alt 'F -4 3 m'
_space_group_IT_number 216
_space_group_name_Hall 'F -4 2 3'
_cell_length_a 7.2488
_cell_length_b 7.2488
_cell_length_c 7.2488
_cell_angle_alpha 90.00
_cell_angle_beta 90.00
_cell_angle_gamma 90.00
loop_
_atom_site_label
_atom_site_type_symbol
_atom_site_fract_x
_atom_site_fract_y
_atom_site_fract_z
Li1 Li 0.0000 0.0000 0.0000
Gd1 Gd 0.2500 0.2500 0.7500
Dy1 Dy 0.2500 0.2500 0.2500
Au1 Au 0.0000 0.0000 0.5000

[6]
# ZrTc4Pb PBE optimized geometry
# Total magnetization   0.00 μB/f.u.
# Formation energy   107 meV per atom
# DOS(E_F)   7.14 states/eV/f.u.
# V   17.4 Å³/atom
data_ZrTc4Pb
_chemical_formula_sum 'Zr4 Tc16 Pb4'
_space_group_name_H-M_alt 'F -4 3 m'
_space_group_IT_number 216
_space_group_name_Hall 'F -4 2 3'
_cell_length_a 7.4793
_cell_length_b 7.4793
_cell_length_c 7.4793
_cell_angle_alpha 90.00
_cell_angle_beta 90.00
_cell_angle_gamma 90.00
loop_
_atom_site_label
_atom_site_type_symbol
_atom_site_fract_x
_atom_site_fract_y
_atom_site_fract_z
Zr1 Zr 0.0000 0.0000 0.0000
Tc1 Tc 0.1242 0.1242 0.3758
Pb1 Pb 0.2500 0.2500 0.7500